No. 1
The following is a PBE-GGA calculation of Tl2NiPt after structural relaxation, from the Alexandria database.

Output
energy of formation = 252 meV per atom

Cell lengths 3.869, 3.869, 7.590 Å; angles 78.26, 78.26, 46.26 degrees
Positions (direct):
1 Pt 0.750 0.750 0.750
2 Tl 0.992 0.992 0.012
3 Tl 0.508 0.508 0.488
4 Ni 0.250 0.250 0.250



No. 2
The following is a PBE-GGA calculation of TlNiPt2 after structural relaxation, from the Alexandria database.

Output
energy of formation = 66 meV per atom

Cell lengths 3.046, 3.046, 7.079 Å; angles 90.00, 90.00, 89.98 degrees
Last column: magnetic moment on the atom in μB.
Positions (direct):
1 Tl 0.500 0.500 0.250  -0.01
2 Ni 0.500 0.500 0.750  0.56
3 Pt 0.000 0.000 0.959  0.07
4 Pt 0.000 0.000 0.541  0.07



No. 3
The following is a PBE-GGA calculation of Tl2NiPt after structural relaxation, from the Alexandria database.

Output
energy of formation = 164 meV per atom

Cell lengths 3.353, 3.353, 7.723 Å; angles 90.00, 90.00, 90.01 degrees
Positions (direct):
1 Tl 0.500 0.500 0.306
2 Tl 0.000 0.000 0.944
3 Ni 0.000 0.000 0.569
4 Pt 0.500 0.500 0.680



No. 4
The following is a PBE-GGA calculation of TlNi2Pt2 after structural relaxation, from the Alexandria database.

Output
energy of formation = 188 meV per atom

Cell lengths 3.606, 3.606, 6.855 Å; angles 74.75, 74.75, 90.00 degrees
Last column: magnetic moment on the atom in μB.
Positions (direct):
1 Ni 0.250 0.750 0.500  0.62
2 Ni 0.750 0.250 0.500  0.62
3 Tl 0.000 0.000 0.000  -0.01
4 Pt 0.391 0.391 0.218  0.15
5 Pt 0.609 0.609 0.782  0.15



No. 5
The following is a PBE-GGA calculation of TlNiPt2 after structural relaxation, from the Alexandria database.

Output
energy of formation = 101 meV per atom

Cell lengths 3.794, 2.909, 6.588 Å; angles 63.87, 90.00, 90.00 degrees
Positions (direct):
1 Ni 0.500 0.724 0.775
2 Pt 0.000 0.020 0.979
3 Pt 0.500 0.264 0.236
4 Tl 0.000 0.492 0.509



No. 6
The following is a PBE-GGA calculation of TlNiPt2 after structural relaxation, from the Alexandria database.

Output
energy of formation = 104 meV per atom

Cell lengths 4.760, 4.760, 3.015 Å; angles 90.00, 90.00, 106.44 degrees
Last column: magnetic moment on the atom in μB.
Positions (direct):
1 Pt 0.000 0.000 0.000  0.05
2 Pt 0.500 0.500 0.000  0.05
3 Ni 0.000 0.500 0.500  0.45
4 Tl 0.500 0.000 0.500  -0.01



No. 7
The following is a PBE-GGA calculation of Tl2NiPt after structural relaxation, from the Alexandria database.

Output
energy of formation = 390 meV per atom

Cell lengths 4.798, 4.798, 4.798 Å; angles 60.00, 60.00, 60.00 degrees
Last column: magnetic moment on the atom in μB.
Positions (direct):
1 Tl 0.250 0.250 0.250  0.01
2 Tl 0.000 0.000 0.000  0.01
3 Pt 0.750 0.750 0.750  0.06
4 Ni 0.500 0.500 0.500  0.28



No. 8
The following is a PBE-GGA calculation of TlNiPt2 after structural relaxation, from the Alexandria database.

Output
energy of formation = 98 meV per atom

Cell lengths 4.520, 4.520, 4.520 Å; angles 60.00, 60.00, 60.00 degrees
Positions (direct):
1 Pt 0.000 0.000 0.000
2 Pt 0.250 0.250 0.250
3 Tl 0.750 0.750 0.750
4 Ni 0.500 0.500 0.500



no.,magnetic moment (μB/f.u.)
1,0.000
2,0.675
3,0.003
4,1.484
5,0.001
6,0.505
7,0.340
8,0.001